Here is crystalline LiMgPb2O6 at its relaxed geometry from Alexandria via LeMat-Bulk. Energies are from GGA-PBE.

Lattice parameters (Å, degrees): 5.4749 5.4749 14.6523 90.00 90.00 120.00
Space group R3 (No. 146, hexagonal axes)
One atom of each set of equivalent atoms:
Li: 0.0000 0.0000 0.0000 [3 per cell]
Mg: 0.0000 0.0000 0.4918 [3 per cell]
Pb: 0.0000 0.0000 0.2824 [3 per cell]
Pb: 0.0000 0.0000 0.7849 [3 per cell]
O: 0.0344 0.3510 0.5549 [9 per cell]
O: 0.0460 0.6788 0.0591 [9 per cell]

Uncorrected formation energy (eV per atom): -1.2390
V (Å³/f.u.): 126.8